First-principles (GGA-PBE) data for a geometry-optimized K2TaOF5 structure, as listed in OQMD.

## Properties
Magnetic moment   0.00 Bohr magnetons per cell
Space group   Fmm2
E_tot   -6.09 eV per atom
Theoretical density   4.94 g cm⁻³

The structure in POSCAR format:
```
K2TaOF5
1.0
3.161 2.746 3.807
-1.908 1.090 5.199
2.113 -2.781 4.263
F K Ta O
5 2 1 1
direct
0.766 0.264 0.234 F
0.767 0.263 0.737 F
0.263 0.767 0.233 F
0.264 0.766 0.736 F
0.246 0.246 0.754 F
0.254 0.254 0.246 K
0.754 0.754 0.746 K
0.992 0.992 0.008 Ta
0.774 0.774 0.226 O
```

***

First-principles (GGA-PBE) data for a geometry-optimized CsBeAsPt structure, as listed in OQMD.

## Properties
Magnetic moment   0.00 Bohr magnetons per cell
Space group   F-43m
E_tot   -2.96 eV per atom
Distance to the lowest polymorph of the same formula   0.000 eV per atom
Theoretical density   8.09 g cm⁻³

The structure in POSCAR format:
```
CsBeAsPt
1.0
0.000 3.484 3.484
3.484 0.000 3.484
3.484 3.484 0.000
Pt As Be Cs
1 1 1 1
direct
0.500 0.500 0.500 Pt
0.250 0.250 0.250 As
0.750 0.750 0.750 Be
0.000 0.000 0.000 Cs
```

***

First-principles (GGA-PBE) data for a geometry-optimized DySiPt structure, as listed in OQMD.

## Properties
Magnetic moment   0.00 Bohr magnetons per cell
Space group   F-43m
E_tot   -6.05 eV per atom
Theoretical density   10.35 g cm⁻³

The structure in POSCAR format:
```
DySiPt
1.0
-4.414 -0.455 -0.139
-2.601 3.597 -0.051
-2.228 1.077 -3.686
Dy Si Pt
1 1 1
direct
0.250 0.250 0.250 Dy
0.000 0.000 0.000 Si
0.750 0.750 0.750 Pt
```

***

First-principles (GGA-PBE) data for a geometry-optimized NaCoOs structure, as listed in OQMD.

## Properties
Magnetic moment   4.07 Bohr magnetons per cell
Space group   F-43m
E_tot   -4.32 eV per atom
Distance to the lowest polymorph of the same formula   1.017 eV per atom
Theoretical density   8.63 g cm⁻³

The structure in POSCAR format:
```
NaCoOs
1.0
0.000 2.969 2.969
2.969 0.000 2.969
2.969 2.969 0.000
Na Co Os
1 1 1
direct
0.000 0.000 0.000 Na
0.250 0.250 0.250 Co
0.750 0.750 0.750 Os
```

***

First-principles (GGA-PBE) data for a geometry-optimized PrLuAg2Pb2 structure, as listed in OQMD.

## Properties
Magnetic moment   0.00 Bohr magnetons per cell
Space group   P3m1
E_tot   -4.12 eV per atom
Theoretical density   10.35 g cm⁻³

The structure in POSCAR format:
```
PrLuAg2Pb2
1.0
-3.562 2.705 -1.811
-0.430 -1.922 4.406
3.148 6.146 2.988
Pb Ag Pr Lu
2 2 1 1
direct
0.667 0.333 0.763 Pb
0.333 0.667 0.276 Pb
0.667 0.333 0.197 Ag
0.333 0.667 0.669 Ag
0.000 0.000 0.990 Pr
0.000 0.000 0.492 Lu
```

***

First-principles (GGA-PBE) data for a geometry-optimized ReSiSb structure, as listed in OQMD.

## Properties
Magnetic moment   0.01 Bohr magnetons per cell
Space group   F-43m
E_tot   -6.85 eV per atom
Distance to the lowest polymorph of the same formula   0.000 eV per atom
Theoretical density   9.52 g cm⁻³

The structure in POSCAR format:
```
ReSiSb
1.0
-0.846 2.764 3.264
-0.743 4.213 -0.847
-4.010 1.646 0.479
Si Re Sb
1 1 1
direct
0.750 0.750 0.750 Si
0.000 0.000 0.000 Re
0.250 0.250 0.250 Sb
```

***

First-principles (GGA-PBE) data for a geometry-optimized NbPtPb2 structure, as listed in OQMD.

## Properties
Magnetic moment   2.30 Bohr magnetons per cell
Space group   F-43m
E_tot   -5.45 eV per atom
Theoretical density   13.19 g cm⁻³

The structure in POSCAR format:
```
NbPtPb2
1.0
-0.509 2.764 4.136
-0.488 4.964 -0.355
-4.388 2.162 1.038
Nb Pb Pt
1 2 1
direct
0.000 0.000 0.000 Nb
0.250 0.250 0.250 Pb
0.500 0.500 0.500 Pb
0.750 0.750 0.750 Pt
```

***

First-principles (GGA-PBE) data for a geometry-optimized MgPd structure, as listed in OQMD.

## Properties
Space group   Pmc2_1
E_tot   -3.90 eV per atom
Theoretical density   6.59 g cm⁻³

The structure in POSCAR format:
```
MgPd
1.0
-3.433 -3.618 0.409
1.448 -0.423 8.414
-3.271 3.185 0.723
Pd Mg
6 6
direct
0.829 0.492 0.500 Pd
0.329 0.341 0.500 Pd
0.846 0.154 0.500 Pd
0.994 0.671 0.000 Pd
0.494 0.162 0.000 Pd
0.346 0.679 0.500 Pd
0.852 0.806 0.500 Mg
0.976 0.007 0.000 Mg
0.476 0.827 0.000 Mg
0.352 0.028 0.500 Mg
0.002 0.334 0.000 Mg
0.502 0.499 0.000 Mg
```

***

> What is the theoretical density in the fifth record?

10.35 g cm⁻³